(1)
# Ge2Mo3 (PBE, optimized geometry)
# Magnetic moment: 0.00 μB per cell
# Formation enthalpy at 0 K: -5 meV/atom
data_Ge2Mo3
_symmetry_space_group_name_H-M 'P 1'
_symmetry_Int_Tables_number 1
_symmetry_space_group_name_Hall 'P 1'
_cell_length_a 3.139
_cell_length_b 10.442
_cell_length_c 9.797
_cell_angle_alpha 90.00
_cell_angle_beta 90.00
_cell_angle_gamma 90.00
loop_
_atom_site_label
_atom_site_type_symbol
_atom_site_fract_x
_atom_site_fract_y
_atom_site_fract_z
Mo1 Mo 0.750 0.056 0.632
Mo2 Mo 0.250 0.249 0.720
Ge1 Ge 0.750 0.461 0.686
Mo3 Mo 0.750 0.370 0.440
Mo4 Mo 0.750 0.751 0.280
Mo5 Mo 0.750 0.444 0.132
Mo6 Mo 0.250 0.870 0.060
Mo7 Mo 0.250 0.630 0.560
Mo8 Mo 0.750 0.749 0.780
Mo9 Mo 0.750 0.130 0.940
Mo10 Mo 0.250 0.944 0.368
Ge2 Ge 0.750 0.674 0.038
Ge3 Ge 0.750 0.039 0.186
Ge4 Ge 0.250 0.539 0.314
Ge5 Ge 0.750 0.826 0.538
Mo11 Mo 0.250 0.251 0.220
Ge6 Ge 0.250 0.326 0.962
Mo12 Mo 0.250 0.556 0.868
Ge7 Ge 0.250 0.174 0.462
Ge8 Ge 0.250 0.961 0.814

(2)
# Ge3Mo5 (PBE, optimized geometry)
# Magnetic moment: 0.00 μB per cell
# Formation enthalpy at 0 K: -126 meV/atom
data_Ge3Mo5
_symmetry_space_group_name_H-M 'P 1'
_symmetry_Int_Tables_number 1
_symmetry_space_group_name_Hall 'P 1'
_cell_length_a 7.435
_cell_length_b 7.435
_cell_length_c 7.435
_cell_angle_alpha 96.51
_cell_angle_beta 96.51
_cell_angle_gamma 140.64
loop_
_atom_site_label
_atom_site_type_symbol
_atom_site_fract_x
_atom_site_fract_y
_atom_site_fract_z
Mo1 Mo 0.923 0.230 0.153
Ge1 Ge 0.250 0.250 0.000
Ge2 Ge 0.668 0.168 0.836
Mo2 Mo 0.230 0.077 0.307
Mo3 Mo 0.270 0.577 0.847
Mo4 Mo 0.750 0.250 0.500
Ge3 Ge 0.832 0.668 0.500
Mo5 Mo 0.423 0.270 0.693
Mo6 Mo 0.770 0.923 0.693
Mo7 Mo 0.077 0.770 0.847
Mo8 Mo 0.250 0.750 0.500
Ge4 Ge 0.332 0.832 0.164
Mo9 Mo 0.730 0.423 0.153
Mo10 Mo 0.577 0.730 0.307
Ge5 Ge 0.750 0.750 0.000
Ge6 Ge 0.168 0.332 0.500

(3)
# Ge4Mo (PBE, optimized geometry)
# Magnetic moment: 0.00 μB per cell
# Formation enthalpy at 0 K: 583 meV/atom
data_Ge4Mo
_symmetry_space_group_name_H-M 'P 1'
_symmetry_Int_Tables_number 1
_symmetry_space_group_name_Hall 'P 1'
_cell_length_a 4.906
_cell_length_b 4.906
_cell_length_c 4.906
_cell_angle_alpha 90.00
_cell_angle_beta 90.00
_cell_angle_gamma 90.00
loop_
_atom_site_label
_atom_site_type_symbol
_atom_site_fract_x
_atom_site_fract_y
_atom_site_fract_z
Ge1 Ge 0.500 0.000 0.500
Mo1 Mo 0.500 0.500 0.500
Ge2 Ge 0.000 0.000 0.000
Ge3 Ge 0.000 0.500 0.500
Ge4 Ge 0.500 0.500 0.000

(4)
# Ge3Mo (PBE, optimized geometry)
# Magnetic moment: 0.00 μB per cell
# Formation enthalpy at 0 K: 9 meV/atom
data_Ge3Mo
_symmetry_space_group_name_H-M 'P 1'
_symmetry_Int_Tables_number 1
_symmetry_space_group_name_Hall 'P 1'
_cell_length_a 3.342
_cell_length_b 5.842
_cell_length_c 4.948
_cell_angle_alpha 126.18
_cell_angle_beta 109.74
_cell_angle_gamma 90.00
loop_
_atom_site_label
_atom_site_type_symbol
_atom_site_fract_x
_atom_site_fract_y
_atom_site_fract_z
Ge1 Ge 0.685 0.007 0.370
Ge2 Ge 0.315 0.637 0.630
Ge3 Ge 0.500 0.430 0.000
Mo1 Mo 0.000 0.093 0.000

(5)
# Ge3Mo5 (PBE, optimized geometry)
# Magnetic moment: 0.00 μB per cell
# Formation enthalpy at 0 K: -25 meV/atom
data_Ge3Mo5
_symmetry_space_group_name_H-M 'P 1'
_symmetry_Int_Tables_number 1
_symmetry_space_group_name_Hall 'P 1'
_cell_length_a 7.455
_cell_length_b 7.455
_cell_length_c 5.160
_cell_angle_alpha 90.00
_cell_angle_beta 90.00
_cell_angle_gamma 120.00
loop_
_atom_site_label
_atom_site_type_symbol
_atom_site_fract_x
_atom_site_fract_y
_atom_site_fract_z
Ge1 Ge 0.605 0.605 0.250
Ge2 Ge 0.395 0.000 0.250
Ge3 Ge 0.395 0.395 0.750
Ge4 Ge 0.605 0.000 0.750
Mo1 Mo 0.333 0.667 0.500
Mo2 Mo 0.000 0.770 0.250
Mo3 Mo 0.230 0.230 0.250
Mo4 Mo 0.667 0.333 0.500
Ge5 Ge 0.000 0.605 0.750
Mo5 Mo 0.667 0.333 0.000
Ge6 Ge 0.000 0.395 0.250
Mo6 Mo 0.770 0.770 0.750
Mo7 Mo 0.230 0.000 0.750
Mo8 Mo 0.333 0.667 0.000
Mo9 Mo 0.770 0.000 0.250
Mo10 Mo 0.000 0.230 0.750

(6)
# GeMo5 (PBE, optimized geometry)
# Magnetic moment: 0.00 μB per cell
# Formation enthalpy at 0 K: 29 meV/atom
data_GeMo5
_symmetry_space_group_name_H-M 'P 1'
_symmetry_Int_Tables_number 1
_symmetry_space_group_name_Hall 'P 1'
_cell_length_a 3.218
_cell_length_b 4.373
_cell_length_c 7.015
_cell_angle_alpha 108.16
_cell_angle_beta 90.00
_cell_angle_gamma 90.00
loop_
_atom_site_label
_atom_site_type_symbol
_atom_site_fract_x
_atom_site_fract_y
_atom_site_fract_z
Mo1 Mo 0.500 0.167 0.334
Mo2 Mo 0.500 0.833 0.666
Mo3 Mo 0.000 0.334 0.669
Ge1 Ge 0.000 0.000 0.000
Mo4 Mo 0.500 0.500 0.000
Mo5 Mo 0.000 0.666 0.331

(7)
# GeMo4 (PBE, optimized geometry)
# Magnetic moment: 0.00 μB per cell
# Formation enthalpy at 0 K: 1461 meV/atom
data_GeMo4
_symmetry_space_group_name_H-M 'P 1'
_symmetry_Int_Tables_number 1
_symmetry_space_group_name_Hall 'P 1'
_cell_length_a 4.546
_cell_length_b 4.546
_cell_length_c 4.546
_cell_angle_alpha 90.00
_cell_angle_beta 90.00
_cell_angle_gamma 90.00
loop_
_atom_site_label
_atom_site_type_symbol
_atom_site_fract_x
_atom_site_fract_y
_atom_site_fract_z
Mo1 Mo 0.500 0.000 0.500
Mo2 Mo 0.000 0.500 0.500
Mo3 Mo 0.000 0.000 0.000
Mo4 Mo 0.500 0.500 0.000
Ge1 Ge 0.500 0.500 0.500

(8)
# Ge3Mo (PBE, optimized geometry)
# Magnetic moment: 0.89 μB per cell
# Formation enthalpy at 0 K: 414 meV/atom
data_Ge3Mo
_symmetry_space_group_name_H-M 'P 1'
_symmetry_Int_Tables_number 1
_symmetry_space_group_name_Hall 'P 1'
_cell_length_a 5.089
_cell_length_b 5.089
_cell_length_c 5.089
_cell_angle_alpha 133.98
_cell_angle_beta 133.98
_cell_angle_gamma 67.12
loop_
_atom_site_label
_atom_site_type_symbol
_atom_site_fract_x
_atom_site_fract_y
_atom_site_fract_z
Ge1 Ge 0.750 0.250 0.500
Ge2 Ge 0.250 0.750 0.500
Ge3 Ge 0.500 0.500 0.000
Mo1 Mo 0.000 0.000 0.000